(1)
ScCd3H: relaxed, PBE.

Cell and atoms, written as extended XYZ:
```
5
Lattice="4.524 0.000 0.000 0.000 4.524 0.000 0.000 0.000 4.524" Properties=species:S:1:pos:R:3 pbc="T T T"
H 0.000 0.000 0.000
Cd 0.000 2.262 0.000
Cd 2.262 0.000 0.000
Cd 0.000 0.000 2.262
Sc 2.262 2.262 2.262
```

Output
The value obtained for the magnetization is 0.0 μB per cell. The value obtained for the total energy is -2.328 eV per atom.


(2)
ScCd2H2: relaxed, PBE.

Cell and atoms, written as extended XYZ:
```
10
Lattice="7.694 0.000 0.000 0.000 7.694 0.000 0.000 0.000 2.929" Properties=species:S:1:pos:R:3 pbc="T T T"
Cd 1.024 2.823 0.000
Cd 6.670 4.871 0.000
Cd 4.871 1.024 0.000
Cd 2.823 6.670 0.000
Sc 3.847 3.847 0.000
Sc 0.000 0.000 0.000
H 6.831 2.984 1.464
H 0.863 4.710 1.464
H 4.710 6.831 1.464
H 2.984 0.863 1.464
```

Output
The value obtained for the magnetization is 0.0 μB per cell. The value obtained for the total energy is -2.293 eV per atom.